# 1
MgTiCu2 after structural relaxation. Source: Alexandria via LeMat-Bulk, functional GGA-PBE.

Unit cell a=5.629 b=5.629 c=5.629 alpha=104.26 beta=104.26 gamma=120.49
Sites, in units of the cell vectors:
Mg 0.000 0.000 0.000
Mg 0.750 0.250 0.500
Ti 0.250 0.750 0.500
Ti 0.500 0.500 0.000
Cu 0.133 0.625 0.008
Cu 0.375 0.383 0.508
Cu 0.617 0.125 0.992
Cu 0.875 0.867 0.492

## Properties
Space-group type ... I-42d, No. 122
D(E_F) ... 1.110 states/eV/atom
Formation energy ... 412.1 meV per atom
Electronic total energy ... -0.2946 Ry per atom
M_tot ... 1.031 μB/f.u.

=====

# 2
BaLaYPt2 after structural relaxation. Source: Alexandria via LeMat-Bulk, functional GGA-PBE.

Unit cell a=5.478 b=5.478 c=5.432 alpha=90.00 beta=90.00 gamma=90.00
Sites, in units of the cell vectors:
Ba 0.000 0.000 0.000
La 0.500 0.500 0.500
Y 0.000 0.000 0.500
Pt 0.000 0.500 0.000
Pt 0.500 0.000 0.000

## Properties
Space-group type ... P4/mmm, No. 123
D(E_F) ... 0.945 states/eV/atom
Formation energy ... 717.3 meV per atom
Electronic total energy ... -0.3206 Ry per atom
M_tot ... 0.000 μB/f.u.

=====

# 3
Ca2TlIn after structural relaxation. Source: Alexandria via LeMat-Bulk, functional GGA-PBE.

Unit cell a=5.711 b=3.595 c=6.641 alpha=90.00 beta=113.62 gamma=90.00
Sites, in units of the cell vectors:
Ca 0.000 0.000 0.000
Ca 0.500 0.500 0.500
Tl 0.000 0.000 0.500
In 0.500 0.500 0.000

## Properties
Space-group type ... P2/m, No. 10
D(E_F) ... 0.798 states/eV/atom
Formation energy ... -279.4 meV per atom
Electronic total energy ... -0.1879 Ry per atom
M_tot ... 0.000 μB/f.u.

=====

# 4
PaInP2 after structural relaxation. Source: Alexandria via LeMat-Bulk, functional GGA-PBE.

Unit cell a=6.900 b=6.900 c=6.900 alpha=34.98 beta=34.98 gamma=34.98
Sites, in units of the cell vectors:
Pa 0.000 0.000 0.000
In 0.168 0.168 0.168
P 0.396 0.396 0.396
P 0.586 0.586 0.586

## Properties
Energy above the lowest structure with this stoichiometry ... 74.5 meV per atom
Space-group type ... R3m, No. 160
D(E_F) ... 0.162 states/eV/atom
Formation energy ... -567.6 meV per atom
Electronic total energy ... -0.4653 Ry per atom
M_tot ... 0.000 μB/f.u.

=====

# 5
NaAg2Pt2 after structural relaxation. Source: Alexandria via LeMat-Bulk, functional GGA-PBE.

Unit cell a=6.719 b=6.719 c=6.719 alpha=144.01 beta=144.01 gamma=51.82
Sites, in units of the cell vectors:
Na 0.000 0.000 0.000
Ag 0.250 0.750 0.500
Ag 0.750 0.250 0.500
Pt 0.397 0.397 0.000
Pt 0.603 0.603 0.000

## Properties
Energy above the lowest structure with this stoichiometry ... 205.2 meV per atom
Space-group type ... I4/mmm, No. 139
D(E_F) ... 1.222 states/eV/atom
Formation energy ... 197.6 meV per atom
Electronic total energy ... -0.2663 Ry per atom
M_tot ... 0.000 μB/f.u.

=====

# 6
TlNiAgB2 after structural relaxation. Source: Alexandria via LeMat-Bulk, functional GGA-PBE.

Unit cell a=3.880 b=3.880 c=5.505 alpha=90.00 beta=90.00 gamma=90.00
Sites, in units of the cell vectors:
Tl 0.000 0.000 0.000
Ni 0.000 0.000 0.500
Ag 0.500 0.500 0.000
B 0.000 0.500 0.500
B 0.500 0.000 0.500

## Properties
Space-group type ... P4/mmm, No. 123
D(E_F) ... 0.268 states/eV/atom
Formation energy ... 886.4 meV per atom
Electronic total energy ... -0.2928 Ry per atom
M_tot ... 0.000 μB/f.u.